Entry 1:
A relaxed Pm2Mg2Cu15 crystal. Source: Alexandria, functional GGA-PBE.

The energy of formation is -0.13 eV/atom. As for the theoretical density: 7.637 g cm⁻³.

Lattice parameters (Å, degrees): 6.6017 6.6017 6.6017 82.47 82.47 82.47
Fractional coordinates of all 19 atoms:
1 Pm 0.1475 0.1475 0.1475
2 Pm 0.8525 0.8525 0.8525
3 Mg 0.3954 0.3954 0.3954
4 Mg 0.6046 0.6046 0.6046
5 Cu 0.0000 0.5000 0.5000
6 Cu 0.1526 0.1526 0.6555
7 Cu 0.1526 0.6555 0.1526
8 Cu 0.2014 0.5000 0.7986
9 Cu 0.2014 0.7986 0.5000
10 Cu 0.3445 0.8474 0.8474
11 Cu 0.5000 0.0000 0.5000
12 Cu 0.5000 0.2014 0.7986
13 Cu 0.5000 0.5000 0.0000
14 Cu 0.5000 0.7986 0.2014
15 Cu 0.6555 0.1526 0.1526
16 Cu 0.7986 0.2014 0.5000
17 Cu 0.7986 0.5000 0.2014
18 Cu 0.8474 0.3445 0.8474
19 Cu 0.8474 0.8474 0.3445

Entry 2:
A relaxed LaPr2Sm crystal. Source: Alexandria, functional GGA-PBE.

The energy of formation is 0.01 eV/atom. As for the theoretical density: 6.632 g cm⁻³.

Lattice parameters (Å, degrees): 5.2220 5.2220 5.2438 90.00 90.00 90.00
Fractional coordinates of all 4 atoms:
1 La 0.0000 0.0000 0.0000
2 Pr 0.0000 0.5000 0.5000
3 Pr 0.5000 0.0000 0.5000
4 Sm 0.5000 0.5000 0.0000

Entry 3:
A relaxed K5Na2Au4 crystal. Source: Alexandria, functional GGA-PBE.

The energy of formation is -0.21 eV/atom. As for the theoretical density: 4.368 g cm⁻³.

Lattice parameters (Å, degrees): 9.2651 9.2651 9.0024 104.21 104.21 31.58
Fractional coordinates of all 11 atoms:
1 K 0.0000 0.0000 0.0000
2 K 0.3160 0.3160 0.4169
3 K 0.3379 0.3379 0.9072
4 K 0.6621 0.6621 0.0928
5 K 0.6840 0.6840 0.5831
6 Na 0.0598 0.0598 0.6571
7 Na 0.9402 0.9402 0.3429
8 Au 0.1113 0.1113 0.3482
9 Au 0.4798 0.4798 0.7224
10 Au 0.5202 0.5202 0.2776
11 Au 0.8887 0.8887 0.6518

Entry 4:
A relaxed Ca2MgCdC crystal. Source: Alexandria, functional GGA-PBE.

The energy of formation is 0.04 eV/atom. As for the theoretical density: 3.241 g cm⁻³.

Lattice parameters (Å, degrees): 5.1714 5.1714 4.3852 90.00 90.00 90.00
Fractional coordinates of all 5 atoms:
1 Ca 0.0000 0.5000 0.0000
2 Ca 0.5000 0.0000 0.0000
3 Mg 0.0000 0.0000 0.5000
4 Cd 0.5000 0.5000 0.5000
5 C 0.0000 0.0000 0.0000

Entry 5:
A relaxed Tb3MgTl2 crystal. Source: Alexandria, functional GGA-PBE.

The energy of formation is -0.29 eV/atom. As for the theoretical density: 9.183 g cm⁻³.

Lattice parameters (Å, degrees): 8.4947 8.4947 3.8291 90.00 90.00 143.46
Fractional coordinates of all 6 atoms:
1 Tb 0.0000 0.0000 0.0000
2 Tb 0.3302 0.6698 0.0000
3 Tb 0.6698 0.3302 0.0000
4 Mg 0.5000 0.5000 0.5000
5 Tl 0.1583 0.8417 0.5000
6 Tl 0.8417 0.1583 0.5000

Entry 6:
A relaxed CoTc2 crystal. Source: Alexandria, functional GGA-PBE.

The energy of formation is 0.77 eV/atom. As for the theoretical density: 9.299 g cm⁻³.

Lattice parameters (Å, degrees): 4.2364 4.2364 2.5365 90.00 90.00 90.00
Fractional coordinates of all 3 atoms:
1 Co 0.0000 0.0000 0.0000
2 Tc 0.0000 0.5000 0.5000
3 Tc 0.5000 0.0000 0.5000

Entry 7:
A relaxed V2CoS4 crystal. Source: Alexandria, functional GGA-PBE.

Its formation energy (no corrections) is -0.731 eV per atom. As for the theoretical density: 4.156 g cm⁻³.

Lattice parameters (Å, degrees): 6.8871 6.8871 6.8871 60.00 60.00 60.00
Fractional coordinates of all 14 atoms:
1 V 0.0000 0.0000 0.0000
2 V 0.0000 0.0000 0.5000
3 V 0.0000 0.5000 0.0000
4 V 0.5000 0.0000 0.0000
5 Co 0.3750 0.3750 0.3750
6 Co 0.6250 0.6250 0.6250
7 S 0.2402 0.7533 0.7533
8 S 0.2467 0.2467 0.2467
9 S 0.2467 0.2467 0.7598
10 S 0.2467 0.7598 0.2467
11 S 0.7533 0.2402 0.7533
12 S 0.7533 0.7533 0.2402
13 S 0.7533 0.7533 0.7533
14 S 0.7598 0.2467 0.2467

Entry 8:
A relaxed Pm4GaI5 crystal. Source: Alexandria, functional GGA-PBE.

Its formation energy (no corrections) is -1.156 eV per atom. As for the theoretical density: 5.727 g cm⁻³.

Lattice parameters (Å, degrees): 10.0184 10.0184 9.0223 102.15 102.15 24.90
Fractional coordinates of all 10 atoms:
1 Pm 0.9998 0.9998 0.2187
2 Pm 0.0002 0.0002 0.7813
3 Pm 0.3510 0.3510 0.9250
4 Pm 0.6490 0.6490 0.0750
5 Ga 0.5000 0.5000 0.0000
6 I 0.1668 0.1668 0.3377
7 I 0.1720 0.1720 0.8267
8 I 0.5000 0.5000 0.5000
9 I 0.8280 0.8280 0.1733
10 I 0.8332 0.8332 0.6623

The highest theoretical density belongs to which entry?
CoTc2

Which formula does entry 7 have?
V2CoS4

What is the theoretical density in the third record?
4.368 g cm⁻³